An optimized crystal structure of Ho3PuSc7, computed with PBE.

The calculation puts the formation energy at 30.0 kJ per mole of atoms. As for the density: 5.8 g/cm³. The value obtained for the density of states at the Fermi level is 19.41 states/eV/f.u.

The structure belongs to space group Immm (No. 71); the cell edges are 5.3970, 10.5181 and 10.5469 Å and the angles 90.00°, 90.00° and 90.00°. The distinct sites, in fractional coordinates, are Ho at (0.0000, 0.0000, 0.0000), Ho at (0.0000, 0.5000, 0.2925), Pu at (0.0000, 0.0000, 0.5000), Sc at (0.0000, 0.2066, 0.2022), Sc at (0.0000, 0.2826, 0.5000) and Sc at (0.0000, 0.5000, 0.0000).